{"formula": "Ni5SbP6O24", "functional": "PBE with a Hubbard U", "state": "optimized geometry", "total_energy_ev_per_cell": -228.073, "m_tot_mub_per_cell": 13.192, "lattice_angstrom": [[4.3177, 2.4928, 6.9045], [-4.3177, 2.4928, 6.9045], [0.0000, -4.9857, 6.9045]], "species": ["Ni", "Ni", "Ni", "Ni", "Ni", "Sb", "P", "P", "P", "P", "P", "P", "O", "O", "O", "O", "O", "O", "O", "O", "O", "O", "O", "O", "O", "O", "O", "O", "O", "O", "O", "O", "O", "O", "O", "O"], "frac_coords": [[0.0000, 0.0000, 0.0000], [0.1361, 0.1361, 0.1361], [0.3548, 0.3548, 0.3548], [0.4948, 0.4948, 0.4948], [0.6343, 0.6343, 0.6343], [0.8533, 0.8533, 0.8533], [0.0472, 0.4473, 0.7380], [0.2498, 0.9390, 0.5384], [0.4473, 0.7380, 0.0472], [0.5384, 0.2498, 0.9390], [0.7380, 0.0472, 0.4473], [0.9390, 0.5384, 0.2498], [0.0065, 0.6101, 0.8056], [0.0295, 0.2632, 0.9071], [0.0777, 0.9470, 0.7383], [0.0879, 0.4929, 0.3322], [0.1721, 0.9940, 0.3874], [0.2514, 0.4180, 0.5996], [0.2632, 0.9071, 0.0295], [0.3322, 0.0879, 0.4929], [0.3874, 0.1721, 0.9940], [0.3873, 0.7354, 0.5770], [0.4180, 0.5996, 0.2514], [0.4929, 0.3322, 0.0879], [0.5110, 0.6428, 0.9027], [0.5770, 0.3873, 0.7354], [0.5996, 0.2514, 0.4180], [0.6101, 0.8056, 0.0065], [0.6428, 0.9027, 0.5110], [0.7354, 0.5770, 0.3873], [0.7383, 0.0777, 0.9470], [0.8056, 0.0065, 0.6101], [0.9027, 0.5110, 0.6428], [0.9071, 0.0295, 0.2632], [0.9470, 0.7383, 0.0777], [0.9940, 0.3874, 0.1721]]}